The following is a DFT calculation (PBE) of CuWS2 after structural relaxation.

**Raw total energy**: -6.3010 eV/atom
**Energy above the lowest structure with this stoichiometry**: 269 meV/atom
**Crystal system**: tetragonal

abc: 6.395 6.395 6.395
angles: 129.79 129.79 73.75
Sites, in units of the cell vectors:
Cu: 0.000 0.000 0.000
Cu: 0.750 0.250 0.500
W: 0.250 0.750 0.500
W: 0.500 0.500 0.000
S: 0.122 0.625 0.997
S: 0.375 0.372 0.497
S: 0.628 0.125 0.003
S: 0.875 0.878 0.503



The following is a DFT calculation (PBE) of CuWS2 after structural relaxation.

**Raw total energy**: -5.9488 eV/atom
**Energy above the lowest structure with this stoichiometry**: 621 meV/atom
**Crystal system**: trigonal

abc: 7.764 7.764 7.764
angles: 23.56 23.56 23.56
Sites, in units of the cell vectors:
Cu: 0.000 0.000 0.000
W: 0.500 0.500 0.500
S: 0.399 0.399 0.399
S: 0.601 0.601 0.601



The following is a DFT calculation (PBE) of CuW3S after structural relaxation.

**Raw total energy**: -8.3420 eV/atom
**Energy above the lowest structure with this stoichiometry**: 0 meV/atom
**Crystal system**: cubic

abc: 4.396 4.396 4.396
angles: 90.00 90.00 90.00
Sites, in units of the cell vectors:
Cu: 0.000 0.000 0.000
W: 0.000 0.500 0.500
W: 0.500 0.000 0.500
W: 0.500 0.500 0.000
S: 0.500 0.500 0.500



The following is a DFT calculation (PBE) of ZnCuW2S after structural relaxation.

**Raw total energy**: -5.3355 eV/atom
**Crystal system**: tetragonal

abc: 4.623 4.623 4.278
angles: 90.00 90.00 90.00
Sites, in units of the cell vectors:
Zn: 0.000 0.000 0.000
Cu: 0.000 0.000 0.500
W: 0.000 0.500 0.500
W: 0.500 0.000 0.500
S: 0.500 0.500 0.000



The following is a DFT calculation (PBE) of ZrCu2WS after structural relaxation.

**Raw total energy**: -4.8137 eV/atom
**Crystal system**: tetragonal

abc: 4.836 4.836 4.877
angles: 90.00 90.00 90.00
Sites, in units of the cell vectors:
Zr: 0.000 0.000 0.000
Cu: 0.000 0.500 0.000
Cu: 0.500 0.000 0.000
W: 0.000 0.000 0.500
S: 0.500 0.500 0.500



The following is a DFT calculation (PBE) of Y4Cu2S after structural relaxation.

**Raw total energy**: -6.1481 eV/atom
**Crystal system**: monoclinic

abc: 6.694 6.694 8.308
angles: 123.82 123.82 33.41
Sites, in units of the cell vectors:
Y: 0.092 0.092 0.393
Y: 0.328 0.328 0.919
Y: 0.672 0.672 0.081
Y: 0.908 0.908 0.607
Cu: 0.386 0.386 0.328
Cu: 0.614 0.614 0.672
S: 0.000 0.000 0.000



The following is a DFT calculation (PBE) of Y2CuS4 after structural relaxation.

**Raw total energy**: -6.2530 eV/atom
**Crystal system**: monoclinic

abc: 6.677 5.586 7.757
angles: 90.00 106.85 90.00
Sites, in units of the cell vectors:
Y: 0.233 0.250 0.435
Y: 0.236 0.250 0.932
Y: 0.764 0.750 0.068
Y: 0.767 0.750 0.565
Cu: 0.248 0.750 0.186
Cu: 0.752 0.250 0.814
S: 0.067 0.750 0.890
S: 0.068 0.750 0.393
S: 0.483 0.512 0.744
S: 0.483 0.988 0.744
S: 0.517 0.012 0.256
S: 0.517 0.488 0.256
S: 0.932 0.250 0.607
S: 0.933 0.250 0.110



The following is a DFT calculation (PBE) of Y8Cu2S after structural relaxation.

**Raw total energy**: -6.2338 eV/atom
**Crystal system**: monoclinic

abc: 9.079 9.079 9.031
angles: 94.95 94.95 23.96
Sites, in units of the cell vectors:
Y: 0.014 0.014 0.217
Y: 0.219 0.219 0.326
Y: 0.344 0.344 0.009
Y: 0.405 0.405 0.458
Y: 0.595 0.595 0.542
Y: 0.656 0.656 0.991
Y: 0.781 0.781 0.674
Y: 0.986 0.986 0.783
Cu: 0.170 0.170 0.753
Cu: 0.830 0.830 0.247
S: 0.500 0.500 0.000



The following is a DFT calculation (PBE) of YCuS3 after structural relaxation.

**Raw total energy**: -4.5623 eV/atom
**Energy above the lowest structure with this stoichiometry**: 645 meV/atom
**Crystal system**: cubic

abc: 5.208 5.208 5.208
angles: 90.00 90.00 90.00
Sites, in units of the cell vectors:
Y: 0.000 0.000 0.000
Cu: 0.500 0.500 0.500
S: 0.000 0.000 0.500
S: 0.000 0.500 0.000
S: 0.500 0.000 0.000



The following is a DFT calculation (PBE) of Y3Cu5S12 after structural relaxation.

**Raw total energy**: -5.1527 eV/atom
**Crystal system**: cubic

abc: 12.729 12.729 12.729
angles: 109.47 109.47 109.47
Sites, in units of the cell vectors:
Y: 0.125 0.250 0.375
Y: 0.125 0.375 0.750
Y: 0.250 0.375 0.125
Y: 0.250 0.875 0.625
Y: 0.375 0.125 0.250
Y: 0.375 0.750 0.125
Y: 0.625 0.250 0.875
Y: 0.625 0.875 0.750
Y: 0.750 0.125 0.375
Y: 0.750 0.625 0.875
Y: 0.875 0.625 0.250
Y: 0.875 0.750 0.625
Cu: 0.000 0.000 0.000
Cu: 0.000 0.000 0.500
Cu: 0.000 0.500 0.000
Cu: 0.000 0.500 0.500
Cu: 0.125 0.750 0.875
Cu: 0.125 0.875 0.250
Cu: 0.250 0.125 0.875
Cu: 0.250 0.625 0.375
Cu: 0.375 0.250 0.625
Cu: 0.375 0.625 0.750
Cu: 0.500 0.000 0.000
Cu: 0.500 0.000 0.500
Cu: 0.500 0.500 0.000
Cu: 0.500 0.500 0.500
Cu: 0.625 0.375 0.250
Cu: 0.625 0.750 0.375
Cu: 0.750 0.375 0.625
Cu: 0.750 0.875 0.125
Cu: 0.875 0.125 0.750
Cu: 0.875 0.250 0.125
S: 0.031 0.205 0.123
S: 0.031 0.326 0.908
S: 0.083 0.705 0.674
S: 0.083 0.877 0.408
S: 0.092 0.623 0.417
S: 0.092 0.969 0.674
S: 0.123 0.031 0.205
S: 0.123 0.592 0.917
S: 0.174 0.205 0.583
S: 0.174 0.469 0.592
S: 0.205 0.123 0.031
S: 0.205 0.583 0.174
S: 0.295 0.326 0.917
S: 0.295 0.469 0.377
S: 0.326 0.908 0.031
S: 0.326 0.917 0.295
S: 0.377 0.295 0.469
S: 0.377 0.583 0.908
S: 0.408 0.083 0.877
S: 0.408 0.826 0.531
S: 0.417 0.092 0.623
S: 0.417 0.826 0.795
S: 0.469 0.377 0.295
S: 0.469 0.592 0.174
S: 0.531 0.408 0.826
S: 0.531 0.623 0.705
S: 0.583 0.174 0.205
S: 0.583 0.908 0.377
S: 0.592 0.174 0.469
S: 0.592 0.917 0.123
S: 0.623 0.417 0.092
S: 0.623 0.705 0.531
S: 0.674 0.083 0.705
S: 0.674 0.092 0.969
S: 0.705 0.531 0.623
S: 0.705 0.674 0.083
S: 0.795 0.417 0.826
S: 0.795 0.877 0.969
S: 0.826 0.531 0.408
S: 0.826 0.795 0.417
S: 0.877 0.408 0.083
S: 0.877 0.969 0.795
S: 0.908 0.031 0.326
S: 0.908 0.377 0.583
S: 0.917 0.123 0.592
S: 0.917 0.295 0.326
S: 0.969 0.674 0.092
S: 0.969 0.795 0.877



The following is a DFT calculation (PBE) of YCuS3 after structural relaxation.

**Raw total energy**: -5.2077 eV/atom
**Energy above the lowest structure with this stoichiometry**: 0 meV/atom
**Crystal system**: cubic

abc: 4.533 4.533 4.533
angles: 90.00 90.00 90.00
Sites, in units of the cell vectors:
Y: 0.000 0.000 0.000
Cu: 0.500 0.500 0.500
S: 0.000 0.500 0.500
S: 0.500 0.000 0.500
S: 0.500 0.500 0.000



The following is a DFT calculation (PBE) of Y2Cu2S after structural relaxation.

**Raw total energy**: -5.6674 eV/atom
**Energy above the lowest structure with this stoichiometry**: 0 meV/atom
**Crystal system**: tetragonal

abc: 8.550 8.550 8.550
angles: 156.70 156.70 33.18
Sites, in units of the cell vectors:
Y: 0.104 0.104 0.000
Y: 0.896 0.896 0.000
Cu: 0.250 0.750 0.500
Cu: 0.750 0.250 0.500
S: 0.500 0.500 0.000